(1)
CsIr3I: single point on PBEsol structure, meta-GGA SCAN.

Properties
crystal system: cubic
magnetic moment: 0.00 μB/f.u.
formation energy from raw total energies: 1.94 eV/atom
mass density: 11.281 g/cm3

Lattice parameters (Å, degrees): 4.9748 4.9748 4.9748 90.00 90.00 90.00
Atoms (fractional coordinates):
1 Cs 0.0000 0.0000 0.0000
2 Ir 0.0000 0.5000 0.5000
3 Ir 0.5000 0.0000 0.5000
4 Ir 0.5000 0.5000 0.0000
5 I 0.5000 0.5000 0.5000

(2)
CsIrIO2: single point on PBEsol structure, meta-GGA SCAN.

Properties
crystal system: tetragonal
magnetic moment: 1.78 μB/f.u.
formation energy from raw total energies: -0.02 eV/atom
mass density: 7.967 g/cm3

Lattice parameters (Å, degrees): 4.3480 4.3480 5.3362 90.00 90.00 90.00
Atoms (fractional coordinates):
1 Cs 0.0000 0.0000 0.0000
2 Ir 0.5000 0.5000 0.5000
3 I 0.5000 0.5000 0.0000
4 O 0.0000 0.5000 0.5000
5 O 0.5000 0.0000 0.5000

(3)
CsTe2IrI: single point on PBEsol structure, meta-GGA SCAN.

Properties
crystal system: tetragonal
magnetic moment: 5.96 μB/f.u.
formation energy from raw total energies: 1.88 eV/atom
mass density: 4.424 g/cm3

Lattice parameters (Å, degrees): 6.3070 6.3070 6.6734 90.00 90.00 90.00
Atoms (fractional coordinates):
1 Cs 0.0000 0.0000 0.0000
2 Te 0.0000 0.5000 0.0000
3 Te 0.5000 0.0000 0.0000
4 Ir 0.5000 0.5000 0.5000
5 I 0.0000 0.0000 0.5000

It is found that the raw total energy values, taken in the order of the records, are -55.6314 -31.6454 -42.1481 eV/atom.